(P)
A relaxed HoScAlCu crystal. Source: the Alexandria database, functional PBE-GGA.

a = 3.370 Å, b = 3.370 Å, c = 7.086 Å
α = 90.00°, β = 90.00°, γ = 90.00°
Fractional positions:
1 Ho 0.000 0.000 0.845
2 Sc 0.000 0.000 0.376
3 Al 0.500 0.500 0.129
4 Cu 0.500 0.500 0.578

Values from the calculation:
As for the volume: 80 Å³/cell. For the magnetization, the calculation gives 0.0 μB/cell. The calculation puts the density of states at the Fermi level at 2.5 states/eV/f.u.

=====

(Q)
A relaxed HoScAlCu crystal. Source: the Alexandria database, functional PBE-GGA.

a = 4.879 Å, b = 4.879 Å, c = 4.879 Å
α = 60.00°, β = 60.00°, γ = 60.00°
Fractional positions:
1 Sc 0.500 0.500 0.500
2 Ho 0.000 0.000 0.000
3 Cu 0.250 0.250 0.250
4 Al 0.750 0.750 0.750

Values from the calculation:
As for the volume: 82 Å³/cell. For the magnetization, the calculation gives 0.0 μB/cell. The calculation puts the density of states at the Fermi level at 3.5 states/eV/f.u.

=====

Sorted by energy, starting with the most stable: (P), (Q).

=====

(P)
A relaxed TbHoAlCu crystal. Source: the Alexandria database, functional PBE-GGA.

a = 5.043 Å, b = 5.043 Å, c = 5.043 Å
α = 60.00°, β = 60.00°, γ = 60.00°
Fractional positions:
1 Tb 0.000 0.000 0.000
2 Ho 0.500 0.500 0.500
3 Cu 0.250 0.250 0.250
4 Al 0.750 0.750 0.750

Values from the calculation:
As for the volume: 91 Å³/cell. For the magnetization, the calculation gives 0.0 μB/cell. The calculation puts the density of states at the Fermi level at 4.1 states/eV/f.u.

=====

(Q)
A relaxed TbHoAlCu crystal. Source: the Alexandria database, functional PBE-GGA.

a = 3.469 Å, b = 3.469 Å, c = 7.382 Å
α = 90.00°, β = 90.00°, γ = 90.00°
Fractional positions:
1 Tb 0.000 0.000 0.370
2 Ho 0.000 0.000 0.841
3 Al 0.500 0.500 0.103
4 Cu 0.500 0.500 0.614

Values from the calculation:
As for the volume: 89 Å³/cell. For the magnetization, the calculation gives 0.0 μB/cell. The calculation puts the density of states at the Fermi level at 2.9 states/eV/f.u.

=====

Sorted by energy, starting with the most stable: (Q), (P).

=====

(P)
A relaxed HoTmAlCu crystal. Source: the Alexandria database, functional PBE-GGA.

a = 3.441 Å, b = 3.441 Å, c = 7.303 Å
α = 90.00°, β = 90.00°, γ = 90.00°
Fractional positions:
1 Ho 0.000 0.000 0.370
2 Tm 0.000 0.000 0.841
3 Al 0.500 0.500 0.103
4 Cu 0.500 0.500 0.614

Values from the calculation:
As for the volume: 86 Å³/cell. For the magnetization, the calculation gives 0.0 μB/cell. The calculation puts the density of states at the Fermi level at 2.7 states/eV/f.u.

=====

(Q)
A relaxed HoTmAlCu crystal. Source: the Alexandria database, functional PBE-GGA.

a = 4.995 Å, b = 4.995 Å, c = 4.995 Å
α = 60.00°, β = 60.00°, γ = 60.00°
Fractional positions:
1 Tm 0.500 0.500 0.500
2 Ho 0.000 0.000 0.000
3 Cu 0.250 0.250 0.250
4 Al 0.750 0.750 0.750

Values from the calculation:
As for the volume: 88 Å³/cell. For the magnetization, the calculation gives 0.0 μB/cell. The calculation puts the density of states at the Fermi level at 3.8 states/eV/f.u.

=====

Sorted by energy, starting with the most stable: (P), (Q).

=====

(P)
A relaxed YHoAlCu crystal. Source: the Alexandria database, functional PBE-GGA.

a = 3.471 Å, b = 3.471 Å, c = 7.364 Å
α = 90.00°, β = 90.00°, γ = 90.00°
Fractional positions:
1 Y 0.000 0.000 0.845
2 Ho 0.000 0.000 0.373
3 Al 0.500 0.500 0.110
4 Cu 0.500 0.500 0.600

Values from the calculation:
As for the volume: 89 Å³/cell. For the magnetization, the calculation gives 0.0 μB/cell. The calculation puts the density of states at the Fermi level at 2.7 states/eV/f.u.

=====

(Q)
A relaxed YHoAlCu crystal. Source: the Alexandria database, functional PBE-GGA.

a = 5.038 Å, b = 5.038 Å, c = 5.038 Å
α = 60.00°, β = 60.00°, γ = 60.00°
Fractional positions:
1 Y 0.750 0.750 0.750
2 Ho 0.250 0.250 0.250
3 Cu 0.500 0.500 0.500
4 Al 0.000 0.000 0.000

Values from the calculation:
As for the volume: 90 Å³/cell. For the magnetization, the calculation gives 0.0 μB/cell. The calculation puts the density of states at the Fermi level at 3.9 states/eV/f.u.

=====

Sorted by energy, starting with the most stable: (P), (Q).

=====

(P)
A relaxed AlCuI2 crystal. Source: the Alexandria database, functional PBE-GGA.

a = 7.661 Å, b = 7.661 Å, c = 7.037 Å
α = 57.02°, β = 57.02°, γ = 90.00°
Fractional positions:
1 I 0.689 0.125 0.250
2 I 0.061 0.625 0.250
3 I 0.375 0.311 0.750
4 I 0.875 0.939 0.750
5 Al 0.500 0.500 0.000
6 Al 0.250 0.750 0.500
7 Cu 0.000 0.000 0.000
8 Cu 0.750 0.250 0.500

Values from the calculation:
As for the volume: 264 Å³/cell. For the magnetization, the calculation gives 0.0 μB/cell. The calculation puts the density of states at the Fermi level at 0.0 states/eV/f.u.

=====

(Q)
A relaxed AlCuI2 crystal. Source: the Alexandria database, functional PBE-GGA.

a = 5.307 Å, b = 5.307 Å, c = 5.307 Å
α = 60.00°, β = 60.00°, γ = 60.00°
Fractional positions:
1 I 0.250 0.250 0.250
2 I 0.750 0.750 0.750
3 Al 0.000 0.000 0.000
4 Cu 0.500 0.500 0.500

Values from the calculation:
As for the volume: 106 Å³/cell. For the magnetization, the calculation gives 0.0 μB/cell. The calculation puts the density of states at the Fermi level at 0.3 states/eV/f.u.

=====

Sorted by energy, starting with the most stable: (P), (Q).

=====

(P)
A relaxed AlCu3I crystal. Source: the Alexandria database, functional PBE-GGA.

a = 4.971 Å, b = 4.971 Å, c = 4.971 Å
α = 90.00°, β = 90.00°, γ = 90.00°
Fractional positions:
1 I 0.000 0.000 0.000
2 Al 0.500 0.500 0.500
3 Cu 0.000 0.500 0.000
4 Cu 0.000 0.000 0.500
5 Cu 0.500 0.000 0.000

Values from the calculation:
As for the volume: 123 Å³/cell. For the magnetization, the calculation gives 0.0 μB/cell. The calculation puts the density of states at the Fermi level at 3.7 states/eV/f.u.

=====

(Q)
A relaxed AlCu3I crystal. Source: the Alexandria database, functional PBE-GGA.

a = 4.715 Å, b = 4.715 Å, c = 4.715 Å
α = 90.00°, β = 90.00°, γ = 90.00°
Fractional positions:
1 I 0.500 0.500 0.500
2 Al 0.000 0.000 0.000
3 Cu 0.000 0.500 0.000
4 Cu 0.000 0.000 0.500
5 Cu 0.500 0.000 0.000

Values from the calculation:
As for the volume: 105 Å³/cell. For the magnetization, the calculation gives 0.0 μB/cell. The calculation puts the density of states at the Fermi level at 2.9 states/eV/f.u.

=====

Sorted by energy, starting with the most stable: (Q), (P).

=====

(P)
A relaxed AlCuIN2 crystal. Source: the Alexandria database, functional PBE-GGA.

a = 3.965 Å, b = 3.965 Å, c = 5.888 Å
α = 90.00°, β = 90.00°, γ = 90.00°
Each line ends with the local moment (μB).
Fractional positions:
1 I 0.000 0.000 0.500  0.05
2 Al 0.500 0.500 0.500  -0.01
3 Cu 0.000 0.000 0.000  0.25
4 N 0.000 0.500 0.000  1.02
5 N 0.500 0.000 0.000  1.02

Values from the calculation:
As for the volume: 93 Å³/cell. For the magnetization, the calculation gives 3.1 μB/cell. The calculation puts the density of states at the Fermi level at 2.8 states/eV/f.u.

=====

(Q)
A relaxed AlCuIN2 crystal. Source: the Alexandria database, functional PBE-GGA.

a = 3.700 Å, b = 3.700 Å, c = 7.138 Å
α = 90.00°, β = 90.00°, γ = 90.00°
Each line ends with the local moment (μB).
Fractional positions:
1 I 0.000 0.000 0.500  0.00
2 Al 0.000 0.000 0.000  -0.01
3 Cu 0.500 0.500 0.500  0.00
4 N 0.000 0.500 0.000  0.14
5 N 0.500 0.000 0.000  0.14

Values from the calculation:
As for the volume: 98 Å³/cell. For the magnetization, the calculation gives 0.4 μB/cell. The calculation puts the density of states at the Fermi level at 2.7 states/eV/f.u.

=====

Sorted by energy, starting with the most stable: (Q), (P).

=====

(P)
A relaxed AlCuIO2 crystal. Source: the Alexandria database, functional PBE-GGA.

a = 3.642 Å, b = 3.642 Å, c = 6.576 Å
α = 90.00°, β = 90.00°, γ = 90.00°
Each line ends with the local moment (μB).
Fractional positions:
1 I 0.000 0.000 0.500  0.00
2 O 0.000 0.500 0.000  -0.10
3 O 0.500 0.000 0.000  -0.10
4 Al 0.000 0.000 0.000  0.00
5 Cu 0.500 0.500 0.500  0.00

Values from the calculation:
As for the volume: 87 Å³/cell. For the magnetization, the calculation gives 0.2 μB/cell. The calculation puts the density of states at the Fermi level at 2.7 states/eV/f.u.

=====

(Q)
A relaxed AlCuIO2 crystal. Source: the Alexandria database, functional PBE-GGA.

a = 3.932 Å, b = 3.932 Å, c = 5.212 Å
α = 90.00°, β = 90.00°, γ = 90.00°
Fractional positions:
1 I 0.000 0.000 0.500
2 O 0.000 0.500 0.000
3 O 0.500 0.000 0.000
4 Al 0.500 0.500 0.500
5 Cu 0.000 0.000 0.000

Values from the calculation:
As for the volume: 81 Å³/cell. For the magnetization, the calculation gives 0.0 μB/cell. The calculation puts the density of states at the Fermi level at 3.8 states/eV/f.u.

=====

Sorted by energy, starting with the most stable: (P), (Q).

=====

(P)
A relaxed AlCuTe2I crystal. Source: the Alexandria database, functional PBE-GGA.

a = 5.175 Å, b = 5.175 Å, c = 5.538 Å
α = 90.00°, β = 90.00°, γ = 90.00°
Fractional positions:
1 I 0.000 0.000 0.500
2 Te 0.000 0.500 0.000
3 Te 0.500 0.000 0.000
4 Al 0.500 0.500 0.500
5 Cu 0.000 0.000 0.000

Values from the calculation:
As for the volume: 148 Å³/cell. For the magnetization, the calculation gives 0.0 μB/cell. The calculation puts the density of states at the Fermi level at 3.8 states/eV/f.u.

=====

(Q)
A relaxed AlCuTe2I crystal. Source: the Alexandria database, functional PBE-GGA.

a = 5.357 Å, b = 5.357 Å, c = 5.526 Å
α = 90.00°, β = 90.00°, γ = 90.00°
Fractional positions:
1 I 0.000 0.000 0.500
2 Te 0.000 0.500 0.000
3 Te 0.500 0.000 0.000
4 Al 0.000 0.000 0.000
5 Cu 0.500 0.500 0.500

Values from the calculation:
As for the volume: 159 Å³/cell. For the magnetization, the calculation gives 0.0 μB/cell. The calculation puts the density of states at the Fermi level at 6.0 states/eV/f.u.

=====

Sorted by energy, starting with the most stable: (P), (Q).

=====

(P)
A relaxed AlInCu3 crystal. Source: the Alexandria database, functional PBE-GGA.

a = 4.839 Å, b = 4.839 Å, c = 4.839 Å
α = 90.00°, β = 90.00°, γ = 90.00°
Fractional positions:
1 Al 0.500 0.500 0.500
2 Cu 0.000 0.500 0.000
3 Cu 0.000 0.000 0.500
4 Cu 0.500 0.000 0.000
5 In 0.000 0.000 0.000

Values from the calculation:
As for the volume: 113 Å³/cell. For the magnetization, the calculation gives 0.0 μB/cell. The calculation puts the density of states at the Fermi level at 2.3 states/eV/f.u.

=====

(Q)
A relaxed AlInCu3 crystal. Source: the Alexandria database, functional PBE-GGA.

a = 4.558 Å, b = 4.558 Å, c = 4.558 Å
α = 90.00°, β = 90.00°, γ = 90.00°
Fractional positions:
1 Al 0.000 0.000 0.000
2 Cu 0.000 0.500 0.000
3 Cu 0.000 0.000 0.500
4 Cu 0.500 0.000 0.000
5 In 0.500 0.500 0.500

Values from the calculation:
As for the volume: 95 Å³/cell. For the magnetization, the calculation gives 0.0 μB/cell. The calculation puts the density of states at the Fermi level at 1.8 states/eV/f.u.

=====

Sorted by energy, starting with the most stable: (Q), (P).

=====

(P)
A relaxed AlCuIr crystal. Source: the Alexandria database, functional PBE-GGA.

a = 4.091 Å, b = 4.091 Å, c = 2.786 Å
α = 90.00°, β = 90.00°, γ = 120.00°
Fractional positions:
1 Ir 0.667 0.333 0.670
2 Al 0.000 0.000 0.151
3 Cu 0.333 0.667 0.179

Values from the calculation:
As for the volume: 40 Å³/cell. For the magnetization, the calculation gives 0.0 μB/cell. The calculation puts the density of states at the Fermi level at 0.6 states/eV/f.u.

=====

(Q)
A relaxed AlCuIr crystal. Source: the Alexandria database, functional PBE-GGA.

a = 6.668 Å, b = 6.405 Å, c = 2.754 Å
α = 83.24°, β = 72.55°, γ = 24.21°
Fractional positions:
1 Ir 0.661 0.661 0.339
2 Al 0.001 0.001 0.999
3 Cu 0.338 0.338 0.662

Values from the calculation:
As for the volume: 42 Å³/cell. For the magnetization, the calculation gives 0.0 μB/cell. The calculation puts the density of states at the Fermi level at 1.2 states/eV/f.u.

=====

(R)
A relaxed AlCuIr crystal. Source: the Alexandria database, functional PBE-GGA.

a = 4.893 Å, b = 4.892 Å, c = 4.892 Å
α = 144.01°, β = 144.01°, γ = 51.81°
Fractional positions:
1 Ir 0.341 0.341 0.000
2 Al 0.999 0.999 0.000
3 Cu 0.660 0.660 0.000

Values from the calculation:
As for the volume: 40 Å³/cell. For the magnetization, the calculation gives 0.0 μB/cell. The calculation puts the density of states at the Fermi level at 1.3 states/eV/f.u.

=====

Sorted by energy, starting with the most stable: (R), (P), (Q).

=====

(P)
A relaxed Al3CuIr2 crystal. Source: the Alexandria database, functional PBE-GGA.

a = 2.985 Å, b = 2.985 Å, c = 9.156 Å
α = 90.00°, β = 90.00°, γ = 90.00°
Fractional positions:
1 Al 0.000 0.000 0.000
2 Al 0.000 0.000 0.663
3 Al 0.000 0.000 0.337
4 Cu 0.500 0.500 0.500
5 Ir 0.500 0.500 0.830
6 Ir 0.500 0.500 0.170

Values from the calculation:
As for the volume: 82 Å³/cell. For the magnetization, the calculation gives 0.0 μB/cell. The calculation puts the density of states at the Fermi level at 1.3 states/eV/f.u.

=====

(Q)
A relaxed Al3CuIr2 crystal. Source: the Alexandria database, functional PBE-GGA.

a = 2.972 Å, b = 4.286 Å, c = 6.974 Å
α = 112.34°, β = 90.00°, γ = 90.00°
Fractional positions:
1 Al 0.500 0.500 0.000
2 Al 0.500 0.846 0.664
3 Al 0.500 0.154 0.336
4 Cu 0.000 0.000 0.000
5 Ir 0.000 0.354 0.673
6 Ir 0.000 0.646 0.327

Values from the calculation:
As for the volume: 82 Å³/cell. For the magnetization, the calculation gives 0.0 μB/cell. The calculation puts the density of states at the Fermi level at 2.2 states/eV/f.u.

=====

Sorted by energy, starting with the most stable: (P), (Q).